Here is crystalline ErSc5Sn3 at its relaxed geometry from the Alexandria database. Energies are from GGA-PBE.

Cell lengths 7.161, 7.161, 17.754 Å; angles 90.00, 90.00, 90.00 degrees
Space group I4/mcm (No. 140)
Asymmetric unit:
Er: 0.000 0.500 0.250
Sc: 0.000 0.000 0.000
Sc: 0.194 0.306 0.125
Sn: 0.000 0.000 0.250
Sn: 0.133 0.367 0.500

Properties
energy relative to the lowest polymorph listed for this composition = 360 meV/atom
formation energy = -0.198 eV per atom


Here is crystalline BeCl3 at its relaxed geometry from the Alexandria database. Energies are from GGA-PBE.

Cell lengths 10.896, 15.270, 3.023 Å; angles 90.00, 90.00, 90.00 degrees
Space group Cmcm (No. 63)
Asymmetric unit:
Be: 0.000 0.148 0.250
Cl: 0.000 0.433 0.750
Cl: 0.134 0.147 0.750

Properties
energy relative to the lowest polymorph listed for this composition = 164 meV/atom
formation energy (no corrections) = -629 meV per atom


Here is crystalline KPuUI6 at its relaxed geometry from the Alexandria database. Energies are from GGA-PBE.

Cell lengths 8.0436, 8.0436, 15.8103 Å; angles 90.00, 90.00, 120.00 degrees
Space group P-31c (No. 163)
Asymmetric unit:
K: 0.0000 0.0000 0.0000
Pu: 0.3333 0.6667 0.2500
U: 0.3333 0.6667 0.7500
I: 0.0040 0.3644 0.6334

Properties
formation energy (no corrections) = -1037 meV per atom


Here is crystalline La3TlGe at its relaxed geometry from the Alexandria database. Energies are from GGA-PBE.

Cell lengths 6.000, 7.258, 9.267 Å; angles 112.14, 90.20, 114.19 degrees
Space group P-1 (No. 2)
Asymmetric unit:
La: 0.119 0.240 0.249
La: 0.157 0.311 0.631
La: 0.379 0.760 0.100
Tl: 0.392 0.785 0.550
Ge: 0.132 0.260 0.937

Properties
energy relative to the lowest polymorph listed for this composition = 63 meV/atom
formation energy = -0.465 eV per atom